#P
This record from the Alexandria database describes crystalline Pm4DyEr at its relaxed geometry. The functional is GGA-PBE.

The structure in extended XYZ format:
```
12
Lattice="6.085 -2.843 0.000 6.085 2.843 0.000 -3.903 0.000 11.502" Properties=species:S:1:pos:R:3 pbc="T T T"
Pm 0.672 1.437 8.226
Pm 3.350 1.421 6.307
Pm 2.966 1.421 10.945
Pm 5.644 1.437 9.027
Pm 2.624 -1.437 2.475
Pm 5.302 -1.421 0.557
Pm 4.917 -1.421 5.194
Pm 7.595 -1.437 3.276
Dy 5.109 1.417 2.875
Dy 3.158 -1.417 8.626
Er 3.043 1.421 0.000
Er 1.091 -1.421 5.751
```

Computed properties:
* calculated volume: 33.16 A^3/atom
* DOS(E_F): 9.26 states/eV/f.u.
* size of the total moment: 0.00 μB/atom

=====

#Q
This record from the Alexandria database describes crystalline Pm4DyEr at its relaxed geometry. The functional is GGA-PBE.

The structure in extended XYZ format:
```
6
Lattice="0.000 4.695 4.695 4.695 0.000 4.695 4.695 4.695 0.000" Properties=species:S:1:pos:R:3 pbc="T T T"
Pm 1.175 1.175 1.175
Pm 3.520 3.520 1.175
Pm 3.520 1.175 3.520
Pm 1.175 3.520 3.520
Dy 7.043 7.043 7.043
Er 4.695 4.695 4.695
```

Computed properties:
* calculated volume: 34.51 A^3/atom
* DOS(E_F): 9.92 states/eV/f.u.
* size of the total moment: 0.00 μB/atom

=====

Relative energies in meV/atom: #P 0; #Q 204

=====

#P
This record from the Alexandria database describes crystalline Pm8DyEr2 at its relaxed geometry. The functional is GGA-PBE.

The structure in extended XYZ format:
```
11
Lattice="-2.830 4.120 8.001 2.830 -4.120 8.001 2.830 4.120 -8.001" Properties=species:S:1:pos:R:3 pbc="T T T"
Pm 2.830 2.435 -2.184
Pm 0.000 0.000 2.614
Pm 0.000 2.419 0.000
Pm 2.830 2.435 2.184
Pm 0.000 1.685 5.818
Pm 0.000 5.821 0.000
Pm 0.000 0.000 13.388
Pm 0.000 1.685 10.185
Dy 2.830 0.000 0.000
Er 2.830 0.000 4.788
Er 0.000 4.120 3.213
```

Computed properties:
* calculated volume: 33.93 A^3/atom
* DOS(E_F): 16.48 states/eV/f.u.
* size of the total moment: 0.00 μB/atom

=====

#Q
This record from the Alexandria database describes crystalline Pm8DyEr2 at its relaxed geometry. The functional is GGA-PBE.

The structure in extended XYZ format:
```
11
Lattice="8.387 -3.382 0.000 8.387 3.382 0.000 -1.181 0.000 6.586" Properties=species:S:1:pos:R:3 pbc="T T T"
Pm 0.491 0.000 6.009
Pm 6.219 1.771 3.918
Pm 3.481 0.000 4.485
Pm 9.374 1.771 2.669
Pm 6.219 -1.771 3.918
Pm 12.112 0.000 2.102
Pm 9.374 -1.771 2.669
Pm 15.102 0.000 0.577
Dy 8.387 0.000 0.000
Er 4.838 0.000 1.276
Er 10.755 0.000 5.310
```

Computed properties:
* calculated volume: 33.96 A^3/atom
* DOS(E_F): 17.90 states/eV/f.u.
* size of the total moment: 0.00 μB/atom

=====

Relative energies in meV/atom: #P 0; #Q 59

=====

#P
This record from the Alexandria database describes crystalline PmDy2Er3 at its relaxed geometry. The functional is GGA-PBE.

The structure in extended XYZ format:
```
12
Lattice="10.944 -1.812 0.000 10.944 1.812 0.000 -5.767 0.000 9.644" Properties=species:S:1:pos:R:3 pbc="T T T"
Pm -0.358 0.000 4.686
Pm 16.478 0.000 4.958
Dy -0.003 0.000 8.190
Dy 7.894 0.000 3.038
Dy 8.226 0.000 6.606
Dy 16.124 0.000 1.455
Er -3.261 0.000 9.523
Er 2.847 0.000 3.334
Er 4.991 0.000 7.936
Er 11.130 0.000 1.709
Er 13.273 0.000 6.310
Er 19.382 0.000 0.121
```

Computed properties:
* calculated volume: 31.87 A^3/atom
* DOS(E_F): 9.74 states/eV/f.u.
* size of the total moment: 0.00 μB/atom

=====

#Q
This record from the Alexandria database describes crystalline PmDy2Er3 at its relaxed geometry. The functional is GGA-PBE.

The structure in extended XYZ format:
```
12
Lattice="8.678 -3.542 0.000 8.678 3.542 0.000 -0.014 0.000 6.126" Properties=species:S:1:pos:R:3 pbc="T T T"
Pm 8.668 2.654 4.595
Pm 8.675 -2.654 1.532
Dy 5.769 0.884 3.569
Dy 5.776 -0.884 0.506
Dy 11.567 0.884 5.621
Dy 11.574 -0.884 2.558
Er 2.899 0.887 5.611
Er 2.906 -0.887 2.548
Er 8.675 0.879 1.532
Er 8.668 -0.879 4.595
Er 14.437 0.887 3.578
Er 14.444 -0.887 0.515
```

Computed properties:
* calculated volume: 31.38 A^3/atom
* DOS(E_F): 8.40 states/eV/f.u.
* size of the total moment: 0.00 μB/atom

=====

Relative energies in meV/atom: #P 0; #Q 12

=====

#P
This record from the Alexandria database describes crystalline PmDy6Er3 at its relaxed geometry. The functional is GGA-PBE.

The structure in extended XYZ format:
```
10
Lattice="4.881 2.818 3.913 -4.881 2.818 3.913 0.000 -5.636 3.913" Properties=species:S:1:pos:R:3 pbc="T T T"
Pm 0.000 0.000 0.000
Dy -1.604 -2.802 3.974
Dy -3.238 -0.029 5.938
Dy -1.624 2.790 3.974
Dy 1.644 -2.789 5.938
Dy 3.229 0.012 3.974
Dy 1.593 2.819 5.938
Er 0.000 0.000 2.903
Er 0.000 0.000 5.840
Er 0.000 0.000 8.710
```

Computed properties:
* calculated volume: 32.29 A^3/atom
* DOS(E_F): 20.72 states/eV/f.u.
* size of the total moment: 0.00 μB/atom

=====

#Q
This record from the Alexandria database describes crystalline PmDy6Er3 at its relaxed geometry. The functional is GGA-PBE.

The structure in extended XYZ format:
```
20
Lattice="5.489 -9.446 0.000 5.489 9.446 0.000 0.000 0.000 6.169" Properties=species:S:1:pos:R:3 pbc="T T T"
Pm 5.489 5.555 3.085
Pm 5.489 -5.555 0.000
Dy 2.760 3.967 1.761
Dy 5.489 8.569 4.536
Dy 5.489 4.098 0.039
Dy 3.680 0.865 0.718
Dy 3.680 -0.865 3.803
Dy 2.760 -3.967 4.846
Dy 8.219 3.967 1.761
Dy 7.298 0.865 0.718
Dy 7.298 -0.865 3.803
Dy 5.489 -4.098 3.124
Dy 5.489 -8.569 1.452
Dy 8.219 -3.967 4.846
Er 1.891 2.061 4.270
Er 1.891 -2.061 1.186
Er 5.489 2.088 3.558
Er 5.489 -2.088 0.473
Er 9.087 2.061 4.270
Er 9.087 -2.061 1.186
```

Computed properties:
* calculated volume: 31.99 A^3/atom
* DOS(E_F): 13.82 states/eV/f.u.
* size of the total moment: 0.00 μB/atom

=====

Relative energies in meV/atom: #P 122; #Q 0

=====

#P
This record from the Alexandria database describes crystalline Pm2DyEr8 at its relaxed geometry. The functional is GGA-PBE.

The structure in extended XYZ format:
```
11
Lattice="-2.742 4.020 7.948 2.742 -4.020 7.948 2.742 4.020 -7.948" Properties=species:S:1:pos:R:3 pbc="T T T"
Pm 0.000 0.000 3.198
Pm 0.000 0.000 12.698
Dy 0.000 0.000 7.948
Er 2.742 1.677 -2.184
Er 0.000 1.674 0.000
Er 2.742 0.000 5.406
Er 2.742 1.677 2.184
Er 0.000 2.343 5.764
Er 0.000 4.020 2.542
Er 0.000 6.366 0.000
Er 0.000 2.343 10.133
```

Computed properties:
* calculated volume: 31.86 A^3/atom
* DOS(E_F): 15.81 states/eV/f.u.
* size of the total moment: 0.00 μB/atom

=====

#Q
This record from the Alexandria database describes crystalline Pm2DyEr8 at its relaxed geometry. The functional is GGA-PBE.

The structure in extended XYZ format:
```
11
Lattice="4.499 -7.979 0.000 4.499 7.979 0.000 -3.200 0.000 4.899" Properties=species:S:1:pos:R:3 pbc="T T T"
Pm 4.499 4.897 0.000
Pm 4.499 -4.897 0.000
Dy 2.899 0.000 2.449
Er -0.315 0.000 1.450
Er -0.071 1.857 4.046
Er 2.899 3.308 2.449
Er -0.071 -1.857 4.046
Er 5.869 1.857 0.853
Er 2.899 -3.308 2.449
Er 5.869 -1.857 0.853
Er 6.113 0.000 3.449
```

Computed properties:
* calculated volume: 31.97 A^3/atom
* DOS(E_F): 14.88 states/eV/f.u.
* size of the total moment: 0.00 μB/atom

=====

Relative energies in meV/atom: #P 0; #Q 44

=====

#P
This record from the Alexandria database describes crystalline Pm4DyEr6 at its relaxed geometry. The functional is GGA-PBE.

The structure in extended XYZ format:
```
11
Lattice="10.971 0.000 0.000 -5.485 9.501 0.000 0.000 0.000 3.543" Properties=species:S:1:pos:R:3 pbc="T T T"
Pm 0.000 0.000 0.000
Pm 5.485 0.022 1.772
Pm 2.762 4.740 1.772
Pm 8.209 4.740 1.772
Dy 0.000 6.334 0.000
Er 0.000 2.928 1.772
Er -2.950 8.037 1.772
Er 2.865 1.654 0.000
Er 2.950 8.037 1.772
Er 8.106 1.654 0.000
Er 5.485 6.193 0.000
```

Computed properties:
* calculated volume: 33.57 A^3/atom
* DOS(E_F): 17.08 states/eV/f.u.
* size of the total moment: 0.00 μB/atom

=====

#Q
This record from the Alexandria database describes crystalline Pm4DyEr6 at its relaxed geometry. The functional is GGA-PBE.

The structure in extended XYZ format:
```
11
Lattice="-3.309 3.309 8.454 3.309 -3.309 8.454 3.309 3.309 -8.454" Properties=species:S:1:pos:R:3 pbc="T T T"
Pm 2.057 2.057 -2.959
Pm 1.252 -1.252 11.413
Pm 1.252 1.252 5.494
Pm -1.252 1.252 11.413
Dy 0.000 0.000 8.454
Er 3.309 0.000 0.000
Er 2.129 -2.129 6.330
Er 1.180 1.180 2.124
Er 0.000 3.309 0.000
Er -2.129 2.129 6.330
Er 2.129 2.129 10.577
```

Computed properties:
* calculated volume: 33.66 A^3/atom
* DOS(E_F): 13.66 states/eV/f.u.
* size of the total moment: 0.00 μB/atom

=====

Relative energies in meV/atom: #P 0; #Q 131